Record 1
12
Lattice="4.185 0.000 0.000 0.000 4.185 0.000 0.000 0.000 12.538" Properties=species:S:1:pos:R:3 comment="Tm2ScAl9 | Alexandria via LeMat-Bulk | PBE-GGA | relaxed" dft_energy_ev_per_atom=-4.50 ef_ev_per_atom=-0.4216 pbc="T T T"
Tm 0.000 0.000 4.144
Tm 0.000 0.000 8.393
Sc 0.000 0.000 0.000
Al 2.092 2.092 0.000
Al 2.092 2.092 4.157
Al 2.092 2.092 8.381
Al 2.092 0.000 2.018
Al 2.092 0.000 6.269
Al 2.092 0.000 10.520
Al 0.000 2.092 2.018
Al 0.000 2.092 6.269
Al 0.000 2.092 10.520

=====

Record 2
80
Lattice="-4.576 2.096 13.694 2.360 -14.226 -2.215 12.396 7.382 -2.169" Properties=species:S:1:pos:R:3 comment="Tm3Sc12Al5 | Alexandria via LeMat-Bulk | PBE-GGA | relaxed" dft_energy_ev_per_atom=-4.69 ef_ev_per_atom=0.7185 pbc="T T T"
Tm -0.998 -2.840 9.168
Tm -0.685 -7.913 10.049
Tm 7.801 -5.270 2.118
Tm 3.799 1.514 2.333
Tm -0.610 1.901 11.163
Tm 2.858 -6.260 3.208
Tm 7.322 1.511 6.101
Tm 10.790 -6.649 -1.853
Tm 6.380 -6.262 6.977
Tm 2.378 0.522 7.192
Tm 10.864 3.164 -0.740
Tm 11.177 -1.908 0.141
Al 3.412 -3.227 0.339
Al 1.180 -7.113 -1.108
Al 0.000 0.000 0.000
Al 0.423 -1.848 4.310
Al 3.910 4.739 5.763
Al -1.108 -6.065 5.739
Al 5.847 -7.639 -0.763
Al 7.709 6.253 8.096
Al 2.691 -4.551 8.073
Al 7.876 4.544 3.232
Al 2.304 -9.292 6.078
Al 5.090 -2.374 4.655
Al -2.288 1.048 6.847
Al 6.198 3.691 -1.084
Al 7.488 -0.197 1.237
Al 2.471 -11.001 1.214
Al 7.378 -3.422 -2.192
Al 4.333 2.891 10.073
Al 9.756 -2.901 5.000
Al 6.768 -1.521 8.971
Sc -2.469 0.176 9.412
Sc 5.072 -3.864 2.385
Sc 0.090 -1.355 11.640
Sc -0.561 -1.042 6.704
Sc 7.255 -3.933 5.158
Sc -0.920 -4.877 11.480
Sc 5.333 -7.545 1.897
Sc 3.216 -11.834 -1.255
Sc 7.952 -7.479 4.262
Sc 0.264 -5.757 8.062
Sc 2.257 -2.018 8.933
Sc -1.086 -11.147 9.214
Sc 7.877 -5.895 -1.187
Sc 0.460 -4.551 4.120
Sc 6.520 -10.145 -1.548
Sc 5.526 3.440 4.009
Sc 2.587 -0.651 0.505
Sc 0.384 -8.044 4.629
Sc 1.896 -8.970 8.738
Sc 1.322 -4.944 0.519
Sc 10.258 -7.006 1.450
Sc 3.813 -4.574 5.605
Sc 4.432 -5.856 9.690
Sc 8.354 3.620 8.098
Sc 6.367 -0.174 3.705
Sc 5.748 1.108 -0.380
Sc 1.826 -8.368 1.212
Sc 8.283 4.221 0.572
Sc -0.078 2.258 7.860
Sc 8.858 0.196 8.790
Sc 9.796 3.295 4.681
Sc 4.654 -8.188 5.301
Sc 7.593 -4.098 8.805
Sc 3.660 5.396 10.858
Sc 2.303 1.146 10.497
Sc 11.266 6.399 0.096
Sc 9.719 -0.197 5.190
Sc 2.228 2.731 5.048
Sc 9.916 1.008 1.248
Sc 7.923 -2.730 0.376
Sc 6.964 7.086 10.565
Sc 4.847 2.797 7.413
Sc 10.741 -3.706 2.606
Sc 11.100 0.128 -2.171
Sc 2.925 -0.815 4.152
Sc 10.090 -3.393 -2.330
Sc 5.108 -0.885 6.925
Sc 12.649 -4.924 -0.102

=====

Record 3
7
Lattice="4.617 0.000 0.613 0.000 3.266 0.000 0.850 0.000 11.292" Properties=species:S:1:pos:R:3 comment="Tm3Sc2Al2 | Alexandria via LeMat-Bulk | PBE-GGA | relaxed" dft_energy_ev_per_atom=-4.91 ef_ev_per_atom=-0.1106 pbc="T T T"
Tm 4.195 0.000 3.789
Tm 0.000 0.000 0.000
Tm 1.272 0.000 8.116
Sc 3.789 1.633 6.848
Sc 1.678 1.633 5.056
Al 3.368 1.633 10.020
Al 2.099 1.633 1.884

=====

Record 4
9
Lattice="-1.409 2.675 0.833 -5.746 -0.906 -6.811 -0.541 -6.189 7.169" Properties=species:S:1:pos:R:3 comment="Tm2Sc6Al | Alexandria via LeMat-Bulk | PBE-GGA | relaxed" dft_energy_ev_per_atom=-5.62 ef_ev_per_atom=0.0100 pbc="T T T"
Tm -4.481 -1.776 -1.873
Tm -3.215 -2.645 3.065
Sc -3.197 -0.090 0.804
Sc -6.359 -4.623 -1.815
Sc -4.500 -4.330 0.388
Sc -3.106 -5.145 5.381
Sc -1.337 0.203 3.007
Sc -4.591 0.725 -4.189
Al 0.000 0.000 0.000

=====

Record 5
12
Lattice="4.939 0.000 0.000 0.000 7.348 -2.700 0.000 -0.099 7.827" Properties=species:S:1:pos:R:3 comment="TmSc3Al2 | Alexandria via LeMat-Bulk | PBE-GGA | relaxed" dft_energy_ev_per_atom=-5.20 ef_ev_per_atom=-0.0429 pbc="T T T"
Tm 4.904 5.134 3.632
Tm 2.435 2.114 1.496
Sc 4.904 6.498 0.533
Sc 2.435 4.582 -0.823
Sc 4.904 2.666 5.950
Sc 2.435 0.750 4.595
Sc 2.435 6.580 4.655
Sc 4.904 0.668 0.473
Al 2.435 5.223 1.931
Al 4.904 3.688 0.845
Al 2.435 3.560 4.282
Al 4.904 2.025 3.196

=====

Record 6
12
Lattice="-3.552 -0.113 4.059 5.021 -1.824 0.758 2.561 8.076 2.466" Properties=species:S:1:pos:R:3 comment="TmSc3Al8 | Alexandria via LeMat-Bulk | PBE-GGA | relaxed" dft_energy_ev_per_atom=-4.93 e_above_lowest_polymorph_ev_per_atom=0.006 ef_ev_per_atom=-0.4801 pbc="T T T"
Tm 1.452 4.578 1.398
Sc 0.406 2.787 4.018
Sc -0.523 -0.142 3.124
Sc 2.392 7.543 2.303
Al 3.443 2.780 3.090
Al 2.166 -1.245 1.861
Al 0.184 6.008 3.913
Al 2.622 5.122 4.281
Al 0.897 5.067 6.253
Al 1.685 1.391 1.513
Al 4.267 0.453 1.903
Al 2.440 0.395 3.990

=====

Record 7
6
Lattice="-2.656 -0.068 4.086 2.112 -1.063 4.262 1.385 7.323 3.928" Properties=species:S:1:pos:R:3 comment="TmScAl | Alexandria via LeMat-Bulk | PBE-GGA | relaxed" dft_energy_ev_per_atom=-4.85 e_above_lowest_polymorph_ev_per_atom=0.292 ef_ev_per_atom=-0.0041 pbc="T T T"
Tm 0.809 4.493 3.507
Tm 0.031 1.699 8.768
Sc -0.178 0.154 5.700
Sc 1.019 6.038 6.575
Al 0.645 4.715 9.217
Al 0.196 1.476 3.058

=====

Record 8
12
Lattice="5.392 0.000 0.000 2.696 4.670 0.000 2.696 1.557 8.842" Properties=species:S:1:pos:R:3 comment="TmSc3Al8 | Alexandria via LeMat-Bulk | PBE-GGA | relaxed" dft_energy_ev_per_atom=-4.94 e_above_lowest_polymorph_ev_per_atom=0.000 ef_ev_per_atom=-0.4863 pbc="T T T"
Tm 8.088 4.670 3.314
Sc 5.392 3.113 7.725
Sc 2.696 1.557 8.828
Sc 5.392 3.113 4.456
Al 6.742 2.334 1.633
Al 6.737 5.450 6.100
Al 4.042 2.334 1.633
Al 9.439 5.450 6.100
Al 2.696 1.557 3.873
Al 8.088 4.670 8.285
Al 5.392 4.672 1.633
Al 8.088 3.110 6.100

=====

| no. | magnetization (Bohr magnetons per cell) |
| --- | --- |
| 1 | 0.000 |
| 2 | 0.001 |
| 3 | 0.000 |
| 4 | 0.000 |
| 5 | 1.790 |
| 6 | 0.000 |
| 7 | 0.000 |
| 8 | 0.000 |